CaRe2W: optimized geometry, PBE.

abc: 2.772 2.772 9.638
angles: 90.00 90.00 110.00
Fractional coordinates of all 4 atoms:
Ca1 0.500 0.500 0.755
Re1 0.000 0.000 0.025
Re2 0.500 0.500 0.248
W1 0.000 0.000 0.473

Distance to the lowest polymorph of the same formula, meV/atom: 121
Formation energy from the elements, kJ/mol of atoms: 56.8
M_tot, μB per cell: 0.0
Electronic total energy, Ry/atom: -0.689
Density, kg/m3: 14226